Below is a geometry-optimized Ta2ReGe2 structure, with properties calculated at the PBE level.

## Properties
Space-group type = I4/mmm
E_tot = -8.3161 eV/atom

Structure (extended XYZ):
```
10
Lattice="3.9190 0.0000 0.0000 0.0000 3.9190 0.0000 0.0000 0.0000 11.4804" Properties=species:S:1:pos:R:3 pbc="T T T"
Ta 0.0000 1.9595 2.8701
Ta 0.0000 1.9595 8.6103
Ta 1.9595 0.0000 2.8701
Ta 1.9595 0.0000 8.6103
Re 0.0000 0.0000 0.0000
Re 1.9595 1.9595 5.7402
Ge 0.0000 0.0000 4.6149
Ge 0.0000 0.0000 6.8655
Ge 1.9595 1.9595 1.1253
Ge 1.9595 1.9595 10.3551
```



Below is a geometry-optimized TaReGe structure, with properties calculated at the PBE level.

## Properties
Space-group type = F-43m
Polymorph energy (0 for the lowest one) = 274 meV/atom
E_tot = -9.0801 eV/atom

Structure (extended XYZ):
```
12
Lattice="6.1338 0.0000 0.0000 0.0000 6.1338 0.0000 0.0000 0.0000 6.1338" Properties=species:S:1:pos:R:3 pbc="T T T"
Ta 0.0000 0.0000 0.0000
Ta 0.0000 3.0669 3.0669
Ta 3.0669 0.0000 3.0669
Ta 3.0669 3.0669 0.0000
Re 1.5334 1.5334 1.5334
Re 1.5334 4.6003 4.6003
Re 4.6003 1.5334 4.6003
Re 4.6003 4.6003 1.5334
Ge 1.5334 1.5334 4.6003
Ge 1.5334 4.6003 1.5334
Ge 4.6003 1.5334 1.5334
Ge 4.6003 4.6003 4.6003
```



Below is a geometry-optimized TaRe2Ge structure, with properties calculated at the PBE level.

## Properties
Space-group type = F-43m
E_tot = -10.0400 eV/atom

Structure (extended XYZ):
```
16
Lattice="6.2999 0.0000 0.0000 0.0000 6.2999 0.0000 0.0000 0.0000 6.2999" Properties=species:S:1:pos:R:3 pbc="T T T"
Ta 0.0000 0.0000 0.0000
Ta 0.0000 3.1499 3.1499
Ta 3.1499 0.0000 3.1499
Ta 3.1499 3.1499 0.0000
Re 0.0000 0.0000 3.1499
Re 0.0000 3.1499 0.0000
Re 1.5750 1.5750 1.5750
Re 1.5750 4.7249 4.7249
Re 3.1499 0.0000 0.0000
Re 3.1499 3.1499 3.1499
Re 4.7249 1.5750 4.7249
Re 4.7249 4.7249 1.5750
Ge 1.5750 1.5750 4.7249
Ge 1.5750 4.7249 1.5750
Ge 4.7249 1.5750 1.5750
Ge 4.7249 4.7249 4.7249
```